# 1
VASP calculation (PBE-GGA) on a geometry-optimized La2Pr2Bi5 structure.

energy relative to the elements	-0.7958	eV/atom
magnetic moment	0.0	μB/f.u.
crystal system	orthorhombic
V	1242.71	Å³ per cell

abc: 16.6911 8.5633 8.6945
angles: 90.00 90.00 90.00
Closest atoms and distances in Å follow each position.
Space group Cmce (No. 64)
Asymmetric unit:
La (0.1916, 0.0000, 0.0000) (multiplicity 8)  7 Bi 3.20-3.44
Pr (0.0000, 0.1574, 0.3395) (multiplicity 8)  8 Bi 3.24-3.52
Bi (0.0000, 0.0000, 0.0000) (multiplicity 4)  2 La 3.20, 4 Pr 3.24-3.25
Bi (0.1384, 0.1449, 0.6449) (multiplicity 16)  3 Pr 3.33-3.52, 3 La 3.34-3.44, 1 Bi 3.54

---

# 2
VASP calculation (PBE-GGA) on a geometry-optimized K5ThS5 structure.

energy relative to the elements, uncorrected	-29.66	kcal/mol of atoms
magnetic moment	1.2	μB/f.u.
crystal system	monoclinic
V	742.73	Å³ per cell

abc: 14.7992 6.0234 8.7876
angles: 90.00 108.53 90.00
Closest atoms and distances in Å follow each position.
Space group C2/m (No. 12)
Asymmetric unit:
K (0.0000, 0.0000, 0.0000) (multiplicity 2)  4 S 3.04-3.17
K (0.1798, 0.5000, 0.3577) (multiplicity 4)  5 S 3.08-3.31
K (0.1975, 0.5000, 0.8212) (multiplicity 4)  5 S 3.11-3.44
Th (0.0000, 0.0000, 0.5000) (multiplicity 2)  6 S 2.75-3.01
S (0.0000, 0.5000, 0.5000) (multiplicity 2)  2 Th 3.01, 4 K 3.28-3.36
S (0.1342, 0.0000, 0.3430) (multiplicity 4)  1 Th 2.75, 3 K 3.04-3.08
S (0.1430, 0.0000, 0.7967) (multiplicity 4)  1 Th 2.79, 2 K 3.11

---

# 3
VASP calculation (PBE-GGA) on a geometry-optimized Sm2Mg3Cd4 structure.

energy relative to the elements	-0.2014	eV/atom
magnetic moment	0.0	μB/f.u.
energy above the most stable polymorph in this dataset	0.41	eV per formula unit
crystal system	orthorhombic
V	893.05	Å³ per cell

abc: 6.1937 17.2145 8.3759
angles: 90.00 90.00 90.00
Closest atoms and distances in Å follow each position.
Space group Cmce (No. 64)
Asymmetric unit:
Sm (0.0000, 0.0970, 0.1028) (multiplicity 8)  7 Cd 3.37-3.45, 5 Mg 3.48-3.72, 1 Sm 3.76
Mg (0.0000, 0.0000, 0.5000) (multiplicity 4)  6 Cd 2.85-2.92
Mg (0.2500, 0.2369, 0.7500) (multiplicity 8)  5 Cd 2.92-2.98, 2 Mg 3.10
Cd (0.0000, 0.1695, 0.4794) (multiplicity 8)  5 Mg 2.92-2.98, 2 Cd 3.26
Cd (0.2500, 0.0675, 0.7500) (multiplicity 8)  3 Mg 2.85-2.92, 2 Cd 3.10

---

# 4
VASP calculation (PBE-GGA) on a geometry-optimized Na2Si2Pt structure.

energy relative to the elements, uncorrected	-8.20	kcal/mol of atoms
magnetic moment	0.0	μB/f.u.
energy above the most stable polymorph in this dataset	0.00	eV per formula unit
crystal system	tetragonal
V	192.77	Å³ per cell

abc: 6.2541 6.2541 4.9284
angles: 90.00 90.00 90.00
Closest atoms and distances in Å follow each position.
Space group P4/mbm (No. 127)
Asymmetric unit:
Na (0.1819, 0.3181, 0.0000) (multiplicity 4)  6 Si 2.96-3.17, 5 Na 3.22-3.24
Si (0.1325, 0.6325, 0.5000) (multiplicity 4)  1 Si 2.34, 2 Pt 2.44
Pt (0.0000, 0.0000, 0.5000) (multiplicity 2)  4 Si 2.44

---

# 5
VASP calculation (PBE-GGA) on a geometry-optimized Pu8Pt2Rh3 structure.

energy relative to the elements	-0.2070	eV/atom
magnetic moment	20.7	μB/f.u.
energy above the most stable polymorph in this dataset	2.04	eV per formula unit
crystal system	monoclinic
V	672.72	Å³ per cell

abc: 15.5898 6.9248 6.6653
angles: 90.00 110.79 90.00
Closest atoms and distances in Å follow each position.
Space group C2/m (No. 12)
Asymmetric unit:
Pu (0.0956, 0.0000, 0.4208) (multiplicity 4)  3 Rh 2.67-2.76, 1 Pt 2.75
Pu (0.1162, 0.2629, 0.9263) (multiplicity 8)  2 Rh 2.73-2.79, 2 Pt 2.84-2.96
Pu (0.1853, 0.5000, 0.5498) (multiplicity 4)  1 Pt 3.00, 2 Rh 3.09, 1 Pu 3.35
Pt (0.2401, 0.0000, 0.8070) (multiplicity 4)  6 Pu 2.75-3.00
Rh (0.0000, 0.0000, 0.0000) (multiplicity 2)  6 Pu 2.67-2.73
Rh (0.0000, 0.3084, 0.5000) (multiplicity 4)  1 Rh 2.65, 4 Pu 2.76-2.79

---

# 6
VASP calculation (PBE-GGA) on a geometry-optimized ZnIn3Hg6 structure.

energy relative to the elements	0.0248	eV/atom
magnetic moment	0.0	μB/f.u.
energy above the most stable polymorph in this dataset	0.00	eV per formula unit
crystal system	trigonal
V	262.50	Å³ per cell

abc: 3.8179 3.8179 20.7949
angles: 90.00 90.00 120.00
Closest atoms and distances in Å follow each position.
Space group P-3m1 (No. 164)
Asymmetric unit:
Zn (0.0000, 0.0000, 0.0000) (multiplicity 1)  6 Hg 2.82
In (0.0000, 0.0000, 0.1890) (multiplicity 2)  6 Hg 3.09
In (0.0000, 0.0000, 0.5000) (multiplicity 1)  6 Hg 3.10
Hg (0.3333, 0.6667, 0.2930) (multiplicity 2)  3 Hg 3.06, 3 In 3.09
Hg (0.3333, 0.6667, 0.6049) (multiplicity 2)  3 Hg 3.06, 3 In 3.10
Hg (0.3333, 0.6667, 0.9151) (multiplicity 2)  3 Zn 2.82, 3 In 3.09

---

# 7
VASP calculation (PBE-GGA) on a geometry-optimized K3MgIn structure.

energy relative to the elements	0.3332	eV/atom
magnetic moment	0.0	μB/f.u.
energy above the most stable polymorph in this dataset	0.00	eV per formula unit
crystal system	cubic
V	317.22	Å³ per cell

abc: 6.8200 6.8200 6.8200
angles: 90.00 90.00 90.00
Closest atoms and distances in Å follow each position.
Space group Pm-3m (No. 221)
Asymmetric unit:
K (0.0000, 0.0000, 0.5000) (multiplicity 3)  2 In 3.41
Mg (0.5000, 0.5000, 0.5000) (multiplicity 1)  12 K 4.82
In (0.0000, 0.0000, 0.0000) (multiplicity 1)  6 K 3.41

---

# 8
VASP calculation (PBE-GGA) on a geometry-optimized RbSO4 structure.

energy relative to the elements, uncorrected	-20.20	kcal/mol of atoms
magnetic moment	1.0	μB/f.u.
crystal system	monoclinic
V	396.69	Å³ per cell

abc: 12.9097 5.8803 5.8639
angles: 90.00 116.98 90.00
Closest atoms and distances in Å follow each position.
Space group C2/c (No. 15)
Asymmetric unit:
Rb (0.0000, 0.2346, 0.2500) (multiplicity 4)  8 O 2.94-3.13
S (0.2500, 0.2500, 0.0000) (multiplicity 4)  4 O 1.54-1.55
O (0.1277, 0.3364, 0.8131) (multiplicity 8)  1 S 1.54
O (0.1947, 0.0905, 0.1255) (multiplicity 8)  1 S 1.55

---

# 9
VASP calculation (PBE-GGA) on a geometry-optimized ZrTiTc structure.

energy relative to the elements	-0.2318	eV/atom
magnetic moment	0.0	μB/f.u.
energy above the most stable polymorph in this dataset	0.34	eV per formula unit
crystal system	trigonal
V	52.91	Å³ per cell

abc: 4.4318 4.4318 3.1106
angles: 90.00 90.00 120.00
Closest atoms and distances in Å follow each position.
Space group P3m1 (No. 156)
Asymmetric unit:
Zr (0.0000, 0.0000, 0.0000) (multiplicity 1)  3 Tc 2.74, 3 Ti 2.87
Ti (0.6667, 0.3333, 0.5830) (multiplicity 1)  3 Tc 2.69, 3 Zr 2.87
Tc (0.3333, 0.6667, 0.3163) (multiplicity 1)  3 Ti 2.69, 3 Zr 2.74

---

# 10
VASP calculation (PBE-GGA) on a geometry-optimized Sc2Tl2Pt structure.

energy relative to the elements	-0.2919	eV/atom
magnetic moment	0.0	μB/f.u.
energy above the most stable polymorph in this dataset	0.06	eV per formula unit
crystal system	tetragonal
V	221.90	Å³ per cell

abc: 7.2484 7.2484 4.2235
angles: 90.00 90.00 90.00
Closest atoms and distances in Å follow each position.
Space group P4/mbm (No. 127)
Asymmetric unit:
Sc (0.1657, 0.3343, 0.0000) (multiplicity 4)  6 Tl 2.89-3.08
Tl (0.1419, 0.6419, 0.5000) (multiplicity 4)  2 Pt 2.79, 6 Sc 2.89-3.08, 1 Tl 2.91
Pt (0.0000, 0.0000, 0.5000) (multiplicity 2)  4 Tl 2.79

---

# 11
VASP calculation (PBE-GGA) on a geometry-optimized Tl4Re structure.

energy relative to the elements	0.5385	eV/atom
magnetic moment	0.2	μB/f.u.
energy above the most stable polymorph in this dataset	0.36	eV per formula unit
crystal system	cubic
V	156.15	Å³ per cell

abc: 5.3849 5.3849 5.3849
angles: 90.00 90.00 90.00
Closest atoms and distances in Å follow each position.
Space group Pm-3m (No. 221)
Asymmetric unit:
Tl (0.0000, 0.0000, 0.0000) (multiplicity 1)  12 Tl 3.81
Tl (0.0000, 0.5000, 0.5000) (multiplicity 3)  2 Re 2.69
Re (0.5000, 0.5000, 0.5000) (multiplicity 1)  6 Tl 2.69

---

# 12
VASP calculation (PBE-GGA) on a geometry-optimized Ag2SeBrO3 structure.

energy relative to the elements, uncorrected	-6.23	kcal/mol of atoms
magnetic moment	0.0	μB/f.u.
crystal system	trigonal
V	817.19	Å³ per cell

abc: 6.9412 6.9412 19.5853
angles: 90.00 90.00 120.00
Closest atoms and distances in Å follow each position.
Space group R-3m (No. 166, hexagonal axes)
Asymmetric unit:
Ag (0.0000, 0.0000, 0.0000) (multiplicity 3)  6 O 2.80
Ag (0.0000, 0.5000, 0.5000) (multiplicity 9)  2 Br 2.56, 4 O 2.85
Se (0.0000, 0.0000, 0.4296) (multiplicity 6)  3 O 1.68
Br (0.0000, 0.0000, 0.2482) (multiplicity 6)  3 Ag 2.56
O (0.0624, 0.5312, 0.2581) (multiplicity 18)  1 Se 1.68